5
Lattice="5.900 0.000 0.000 0.000 5.900 0.000 0.000 0.000 5.900" Properties=species:S:1:pos:R:3 comment="SCAN Cs3SnOs, single point on PBEsol structure" formation_energy_ev_per_atom=1.22 crystal_system=cubic spacegroup="No. 221" pbc="T T T"
Cs 0.000 0.000 2.950
Cs 0.000 2.950 0.000
Cs 2.950 0.000 0.000
Sn 2.950 2.950 2.950
Os 0.000 0.000 0.000

6
Lattice="0.000 4.313 4.313 4.313 0.000 4.313 4.313 4.313 0.000" Properties=species:S:1:pos:R:3 comment="SCAN BeSb5, single point on PBEsol structure" formation_energy_uncorrected_ev_per_fu=4.92 crystal_system=cubic spacegroup="No. 216" pbc="T T T"
Be 0.000 0.000 0.000
Sb 5.396 3.231 3.231
Sb 2.157 2.157 2.157
Sb 3.231 5.396 3.231
Sb 3.231 3.231 5.396
Sb 5.396 5.396 5.396

7
Lattice="4.640 0.000 0.000 -2.320 4.018 0.000 0.000 0.000 4.257" Properties=species:S:1:pos:R:3 comment="SCAN Co4P3, single point on PBEsol structure" formation_energy_ev_per_atom=0.61 crystal_system=hexagonal spacegroup="No. 191" pbc="T T T"
Co 0.000 0.000 1.042
Co 0.000 0.000 3.215
Co 0.000 2.679 0.000
Co 2.320 1.339 0.000
P -1.160 2.009 2.128
P 2.320 0.000 2.128
P 1.160 2.009 2.128

4
Lattice="2.986 0.000 0.000 0.000 3.921 0.000 -1.290 0.000 4.685" Properties=species:S:1:pos:R:3 comment="SCAN Be3Tl, single point on PBEsol structure" formation_energy_ev_per_atom=0.56 relative_energy_mev_per_atom=45 crystal_system=monoclinic spacegroup="No. 10" pbc="T T T"
Be 0.000 0.000 0.000
Be 0.694 1.961 0.817
Be 1.002 1.961 3.868
Tl 0.848 0.000 2.342

4
Lattice="-1.928 1.928 6.117 1.928 -1.928 6.117 1.928 1.928 -6.117" Properties=species:S:1:pos:R:3 comment="SCAN MnAsBr2, single point on PBEsol structure" formation_energy_uncorrected_ev_per_fu=0.30 relative_energy_mev_per_atom=0 crystal_system=tetragonal spacegroup="No. 119" pbc="T T T"
Mn 0.000 0.000 0.000
As 0.000 1.928 3.059
Br 1.928 0.000 3.059
Br 0.000 0.000 6.117

4
Lattice="-1.587 2.134 4.411 1.587 -2.134 4.411 1.587 2.134 -4.411" Properties=species:S:1:pos:R:3 comment="SCAN Ta2CoTc, single point on PBEsol structure" formation_energy_ev_per_atom=-0.16 relative_energy_mev_per_atom=223 crystal_system=orthorhombic spacegroup="No. 44" pbc="T T T"
Ta 0.000 0.000 0.000
Ta 0.000 2.134 2.134
Co 0.000 0.000 4.425
Tc 1.587 0.000 2.105

10
Lattice="6.848 0.000 0.000 0.000 6.848 0.000 0.000 0.000 3.955" Properties=species:S:1:pos:R:3 comment="SCAN ZnCd2Ag2, single point on PBEsol structure" formation_energy_ev_per_atom=0.06 crystal_system=tetragonal spacegroup="No. 127" pbc="T T T"
Zn 0.000 0.000 0.000
Zn 3.424 3.424 0.000
Cd 1.074 2.350 1.977
Cd 2.350 5.774 1.977
Cd 4.498 1.074 1.977
Cd 5.774 4.498 1.977
Ag 1.004 4.428 0.000
Ag 2.420 1.004 0.000
Ag 4.428 5.843 0.000
Ag 5.843 2.420 0.000

4
Lattice="3.906 0.000 0.000 0.000 3.906 0.000 0.000 0.000 4.257" Properties=species:S:1:pos:R:3 comment="SCAN LaMn2Ni, single point on PBEsol structure" formation_energy_ev_per_atom=0.16 crystal_system=tetragonal spacegroup="No. 123" pbc="T T T"
La 0.000 0.000 0.000
Mn 0.000 1.953 2.129
Mn 1.953 0.000 2.129
Ni 1.953 1.953 0.000

5
Lattice="5.298 0.000 0.000 0.000 5.298 0.000 0.000 0.000 5.298" Properties=species:S:1:pos:R:3 comment="SCAN Bi3PdPt, single point on PBEsol structure" formation_energy_ev_per_atom=0.63 relative_energy_mev_per_atom=0 crystal_system=cubic spacegroup="No. 221" pbc="T T T"
Bi 0.000 0.000 2.649
Bi 0.000 2.649 0.000
Bi 2.649 0.000 0.000
Pd 2.649 2.649 2.649
Pt 0.000 0.000 0.000

8
Lattice="-3.762 3.762 3.699 3.762 -3.762 3.699 3.762 3.762 -3.699" Properties=species:S:1:pos:R:3 comment="SCAN TlCuBr2, single point on PBEsol structure" formation_energy_uncorrected_ev_per_fu=-2.26 relative_energy_mev_per_atom=0 crystal_system=tetragonal spacegroup="No. 122" pbc="T T T"
Tl 0.000 0.000 0.000
Tl 0.000 3.762 1.849
Cu 3.762 0.000 1.849
Cu 0.000 0.000 3.699
Br 1.881 -1.228 2.774
Br 2.534 1.881 0.925
Br 1.881 4.990 -0.925
Br 1.228 1.881 4.624

12
Lattice="5.974 -1.856 0.000 5.974 1.856 0.000 -1.870 0.000 6.096" Properties=species:S:1:pos:R:3 comment="SCAN TiV3O8, single point on PBEsol structure" formation_energy_uncorrected_ev_per_fu=-33.54 crystal_system=monoclinic spacegroup="No. 8" pbc="T T T"
Ti 0.000 0.000 0.000
V 0.087 0.000 3.550
V 1.727 0.000 6.047
V 3.676 0.000 3.471
O 0.196 0.000 1.759
O -0.025 0.000 5.609
O 1.835 0.000 3.939
O 3.511 0.000 1.761
O 3.748 0.000 5.695
O 5.644 0.000 3.580
O 8.062 0.000 5.995
O 9.987 0.000 3.836

4
Lattice="1.364 0.787 8.700 -1.364 0.787 8.700 0.000 -1.575 8.700" Properties=species:S:1:pos:R:3 comment="SCAN Co2ReHg, single point on PBEsol structure" formation_energy_ev_per_atom=0.51 crystal_system=trigonal spacegroup="No. 160" pbc="T T T"
Co 0.000 0.000 0.000
Co 0.000 0.000 6.864
Re 0.000 0.000 19.381
Hg 0.000 0.000 13.255

5
Lattice="6.012 0.000 0.000 0.000 6.012 0.000 0.000 0.000 5.018" Properties=species:S:1:pos:R:3 comment="SCAN Cs2BaZnRh, single point on PBEsol structure" formation_energy_ev_per_atom=0.50 crystal_system=tetragonal spacegroup="No. 123" pbc="T T T"
Cs 0.000 3.006 0.000
Cs 3.006 0.000 0.000
Ba 0.000 0.000 2.509
Zn 3.006 3.006 2.509
Rh 3.006 3.006 0.000

4
Lattice="4.302 0.000 0.000 0.000 1.389 5.114 0.000 -1.389 5.114" Properties=species:S:1:pos:R:3 comment="SCAN MgZn2W, single point on PBEsol structure" formation_energy_ev_per_atom=0.23 crystal_system=orthorhombic spacegroup="No. 38" pbc="T T T"
Mg 0.000 0.000 0.000
Zn 0.000 0.000 7.683
Zn 2.151 0.000 6.206
W 2.151 0.000 3.542

4
Lattice="4.780 0.000 0.000 0.000 4.780 0.000 0.000 0.000 2.666" Properties=species:S:1:pos:R:3 comment="SCAN CoAg2W, single point on PBEsol structure" formation_energy_ev_per_atom=0.92 relative_energy_mev_per_atom=335 crystal_system=tetragonal spacegroup="No. 123" pbc="T T T"
Co 0.000 0.000 0.000
Ag 0.000 2.390 1.333
Ag 2.390 0.000 1.333
W 2.390 2.390 0.000

40
Lattice="4.997 0.000 0.000 0.000 15.971 0.000 -1.156 0.000 5.213" Properties=species:S:1:pos:R:3 comment="SCAN CaCuSiH2O5, single point on PBEsol structure" crystal_system=monoclinic spacegroup="No. 14" pbc="T T T"
Ca 0.328 2.829 1.802
Ca -0.250 5.156 4.408
Ca 4.091 10.814 0.804
Ca 3.513 13.142 3.411
Cu 0.000 0.000 0.000
Cu -0.578 7.985 2.606
Cu 1.920 0.000 2.606
Cu 2.498 7.985 0.000
Si 1.281 1.783 5.044
Si 1.859 6.203 2.438
Si 1.982 9.768 2.775
Si 2.560 14.188 0.169
H -0.093 10.655 3.798
H 0.485 13.301 1.191
H 0.614 11.818 4.734
H 1.192 12.138 2.127
H 2.648 3.833 3.085
H 3.226 4.152 0.479
H 3.355 2.669 4.022
H 3.933 5.316 1.415
O -0.276 11.322 4.527
O 0.302 12.633 1.920
O 0.368 9.655 2.458
O -0.210 14.301 5.064
O 0.935 1.376 3.495
O 1.513 6.609 0.889
O 1.524 0.855 0.885
O 0.946 7.130 3.491
O 1.969 3.313 0.157
O 1.391 4.673 2.764
O 2.449 11.298 2.449
O 1.871 12.658 5.056
O 2.895 8.841 1.722
O 2.317 15.115 4.328
O 2.328 9.362 4.324
O 2.906 14.594 1.718
O 4.051 1.669 0.149
O 3.473 6.316 2.755
O 3.538 3.337 3.292
O 4.116 4.648 0.686

4
Lattice="-1.814 1.814 3.653 1.814 -1.814 3.653 1.814 1.814 -3.653" Properties=species:S:1:pos:R:3 comment="SCAN Co2MoRu, single point on PBEsol structure" formation_energy_ev_per_atom=0.17 relative_energy_mev_per_atom=34 crystal_system=tetragonal spacegroup="No. 139" pbc="T T T"
Co 1.814 0.000 1.827
Co 0.000 1.814 1.827
Mo 0.000 0.000 0.000
Ru 0.000 0.000 3.653

5
Lattice="3.990 0.000 0.000 0.000 3.990 0.000 0.000 0.000 3.990" Properties=species:S:1:pos:R:3 comment="SCAN AlRh3N, single point on PBEsol structure" formation_energy_uncorrected_ev_per_fu=-0.99 crystal_system=cubic spacegroup="No. 221" pbc="T T T"
Al 0.000 0.000 0.000
Rh 0.000 1.995 1.995
Rh 1.995 0.000 1.995
Rh 1.995 1.995 0.000
N 1.995 1.995 1.995

4
Lattice="-1.612 2.088 6.496 1.612 -2.088 6.496 1.612 2.088 -6.496" Properties=species:S:1:pos:R:3 comment="SCAN InP, single point on PBEsol structure" formation_energy_ev_per_atom=0.16 crystal_system=orthorhombic spacegroup="No. 74" pbc="T T T"
In 0.000 1.044 1.174
In 1.612 1.044 5.322
P 1.612 1.044 -2.465
P 0.000 1.044 8.960

4
Lattice="6.325 -2.149 0.000 6.325 2.149 0.000 -1.442 0.000 4.050" Properties=species:S:1:pos:R:3 comment="SCAN InTe2As, single point on PBEsol structure" formation_energy_uncorrected_ev_per_fu=-0.03 relative_energy_mev_per_atom=0 crystal_system=monoclinic spacegroup="No. 12" pbc="T T T"
In 0.000 0.000 0.000
Te 2.931 0.000 1.059
Te 8.276 0.000 2.991
As 5.604 0.000 2.025

3
Lattice="3.394 0.000 0.000 -1.697 2.940 0.000 0.000 0.000 6.341" Properties=species:S:1:pos:R:3 comment="SCAN CdTeRu, single point on PBEsol structure" formation_energy_uncorrected_ev_per_fu=0.21 crystal_system=trigonal spacegroup="No. 156" pbc="T T T"
Cd 0.000 0.000 0.000
Te 1.697 0.980 2.750
Ru 0.000 1.960 4.355

4
Lattice="0.000 2.769 2.769 2.769 0.000 2.769 2.769 2.769 0.000" Properties=species:S:1:pos:R:3 comment="SCAN Be2CrIr, single point on PBEsol structure" formation_energy_ev_per_atom=-0.35 crystal_system=cubic spacegroup="No. 216" pbc="T T T"
Be 0.000 0.000 0.000
Be 1.384 1.384 1.384
Cr 2.769 2.769 2.769
Ir 4.153 4.153 4.153

5
Lattice="5.113 0.000 0.000 0.000 5.113 0.000 0.000 0.000 5.327" Properties=species:S:1:pos:R:3 comment="SCAN Na2YHCl, single point on PBEsol structure" crystal_system=tetragonal spacegroup="No. 123" pbc="T T T"
Na 0.000 2.557 0.000
Na 2.557 0.000 0.000
Y 0.000 0.000 2.663
H 2.557 2.557 2.663
Cl 0.000 0.000 0.000

4
Lattice="-2.321 2.321 5.412 2.321 -2.321 5.412 2.321 2.321 -5.412" Properties=species:S:1:pos:R:3 comment="SCAN SrSb2Pb, single point on PBEsol structure" formation_energy_uncorrected_ev_per_fu=-1.69 crystal_system=tetragonal spacegroup="No. 119" pbc="T T T"
Sr 0.000 0.000 0.000
Sb 2.321 0.000 2.706
Sb 0.000 0.000 5.412
Pb 0.000 2.321 2.706

2
Lattice="0.000 2.900 2.900 2.900 0.000 2.900 2.900 2.900 0.000" Properties=species:S:1:pos:R:3 comment="SCAN GdAs, single point on PBEsol structure" formation_energy_ev_per_atom=-1.64 crystal_system=cubic spacegroup="No. 225" pbc="T T T"
Gd 0.000 0.000 0.000
As 2.900 2.900 2.900

4
Lattice="-2.162 2.162 4.599 2.162 -2.162 4.599 2.162 2.162 -4.599" Properties=species:S:1:pos:R:3 comment="SCAN SrTcHg2, single point on PBEsol structure" formation_energy_ev_per_atom=0.40 relative_energy_mev_per_atom=7 crystal_system=tetragonal spacegroup="No. 119" pbc="T T T"
Sr 0.000 0.000 0.000
Tc 0.000 2.162 2.300
Hg 2.162 0.000 2.300
Hg 0.000 0.000 4.599

5
Lattice="6.170 0.000 0.000 0.000 6.170 0.000 0.000 0.000 4.281" Properties=species:S:1:pos:R:3 comment="SCAN MnBiI2O, single point on PBEsol structure" formation_energy_uncorrected_ev_per_fu=-0.20 crystal_system=tetragonal spacegroup="No. 123" pbc="T T T"
Mn 0.000 0.000 0.000
Bi 3.085 3.085 2.140
I 0.000 3.085 2.140
I 3.085 0.000 2.140
O 3.085 3.085 0.000

| no. | total magnetic moment (μB/f.u.) | E (eV/atom) | ρ (g cm⁻³) |
| --- | --- | --- | --- |
| 1 | 2.5 | -43.028 | 5.72 |
| 2 | 0.0 | -30.957 | 6.39 |
| 3 | 6.2 | -13.738 | 6.88 |
| 4 | 0.0 | -20.795 | 7.01 |
| 5 | 5.1 | -19.266 | 5.29 |
| 6 | 1.5 | -46.546 | 14.42 |
| 7 | 0.0 | -27.358 | 9.06 |
| 8 | 6.6 | -23.783 | 7.86 |
| 9 | 0.0 | -67.113 | 10.36 |
| 10 | 0.0 | -32.184 | 6.78 |
| 11 | 3.0 | -12.657 | 4.04 |
| 12 | 3.6 | -42.956 | 14.95 |
| 13 | 0.0 | -31.991 | 5.23 |
| 14 | 0.0 | -25.188 | 9.21 |
| 15 | 2.2 | -36.511 | 12.50 |
| 16 | 1.0 | -9.428 | 3.41 |
| 17 | 2.5 | -25.907 | 10.87 |
| 18 | 0.0 | -23.869 | 9.14 |
| 19 | 0.0 | -21.731 | 5.54 |
| 20 | 0.0 | -32.028 | 6.71 |
| 21 | 0.0 | -34.095 | 8.95 |
| 22 | 0.0 | -24.900 | 10.26 |
| 23 | 2.1 | -9.493 | 2.04 |
| 24 | 0.0 | -43.568 | 7.66 |
| 25 | 7.0 | -41.145 | 7.90 |
| 26 | 1.9 | -48.020 | 11.33 |
| 27 | 6.0 | -35.349 | 5.44 |